CuSb2P6: optimized geometry, PBE.

a b c (Å): 4.847 5.265 15.399
angles (deg): 97.30 90.00 90.00
Element x y z (fractional)
Sb1 0.342 0.859 0.789
Sb2 0.842 0.141 0.711
Sb3 0.658 0.141 0.211
Sb4 0.158 0.859 0.289
Cu1 0.000 0.000 0.000
Cu2 0.500 0.000 0.500
P1 0.675 0.722 0.933
P2 0.175 0.278 0.567
P3 0.325 0.278 0.067
P4 0.825 0.722 0.433
P5 0.757 0.725 0.578
P6 0.257 0.275 0.922
P7 0.243 0.275 0.422
P8 0.743 0.725 0.078
P9 0.482 0.494 0.650
P10 0.982 0.506 0.850
P11 0.518 0.506 0.350
P12 0.018 0.494 0.150

Summary:
The density of states at the Fermi level is 2.88 states/eV/f.u. The uncorrected formation energy comes out at 0.225 eV per atom.

***

Tl5InPb6: optimized geometry, PBE.

a b c (Å): 6.215 7.758 7.758
angles (deg): 85.25 94.74 94.74
Element x y z (fractional)
Pb1 0.247 0.081 0.412
Pb2 0.753 0.588 0.919
Pb3 0.751 0.245 0.245
Pb4 0.249 0.755 0.755
Pb5 0.247 0.412 0.081
Pb6 0.753 0.919 0.588
Tl1 0.500 0.167 0.833
Tl2 0.000 0.333 0.667
Tl3 0.500 0.500 0.500
Tl4 0.000 0.667 0.333
Tl5 0.500 0.833 0.167
In1 0.000 0.000 0.000

Summary:
Its energy of formation from the pure elements is 3 meV per atom. The density of states at the Fermi level is 4.68 states/eV/f.u.

***

CaGa2Ru2: optimized geometry, PBE.

a b c (Å): 4.342 4.342 5.849
angles (deg): 68.21 68.21 90.00
Element x y z (fractional)
Ru1 0.381 0.381 0.239
Ru2 0.619 0.619 0.761
Ca1 0.000 0.000 0.000
Ga1 0.750 0.250 0.500
Ga2 0.250 0.750 0.500

Summary:
Its energy of formation from the pure elements is -227 meV per atom. The density of states at the Fermi level is 2.52 states/eV/f.u.